## BaMgV2Ni3H2O10 (GGA+U)

Data for an optimized crystal structure of BaMgV2Ni3H2O10.

```
BaMgV2Ni3H2O10
1.0
5.976 -0.048 -0.161
-2.895 -5.274 0.031
-2.267 1.234 -7.107
O Ni Ba V Mg H
10 3 1 2 1 2
Direct
0.104 0.805 0.824
0.107 0.287 0.772
0.629 0.311 0.854
0.404 0.196 0.147
0.917 0.193 0.172
0.395 0.690 0.142
0.677 0.411 0.530
0.306 0.627 0.485
0.614 0.793 0.843
0.918 0.708 0.175
0.525 0.500 0.019
0.012 0.994 0.004
0.517 0.004 0.004
0.822 0.886 0.452
0.926 0.466 0.760
0.117 0.543 0.241
0.419 0.423 0.656
0.513 0.826 0.729
0.483 0.244 0.284
```

space-group type = P1 (1)
E_tot = -5.988 eV/atom
total moment = 8.0 μB per formula unit